## Na3Pt12O16 (PBEsol)

Data for an optimized crystal structure of Na3Pt12O16.

Structure (POSCAR):
```
Na3Pt12O16
1.0
0.000 5.656 5.656
5.656 0.000 5.656
5.656 5.656 0.000
Na Pt O
3 12 16
direct
0.000 0.000 0.000
0.250 0.250 0.250
0.750 0.750 0.750
0.127 0.375 0.625
0.127 0.625 0.873
0.127 0.873 0.375
0.375 0.127 0.873
0.375 0.625 0.127
0.375 0.873 0.625
0.625 0.127 0.375
0.625 0.375 0.873
0.625 0.873 0.127
0.873 0.127 0.625
0.873 0.375 0.127
0.873 0.625 0.375
0.114 0.629 0.629
0.124 0.124 0.124
0.124 0.124 0.627
0.124 0.627 0.124
0.371 0.371 0.371
0.371 0.371 0.886
0.371 0.886 0.371
0.373 0.876 0.876
0.627 0.124 0.124
0.629 0.114 0.629
0.629 0.629 0.114
0.629 0.629 0.629
0.876 0.373 0.876
0.876 0.876 0.373
0.876 0.876 0.876
0.886 0.371 0.371
```

Final energy: -6.247 eV per atom
Size of the total moment: 0.000 μB per atom
Space group: No. 202
Formation energy from raw total energies: -0.707 eV/atom

***

## Na2PtO3 (PBEsol)

Data for an optimized crystal structure of Na2PtO3.

Structure (POSCAR):
```
Na2PtO3
1.0
2.722 -4.716 0.000
2.722 4.716 0.000
-1.842 0.000 10.512
Na Pt O
8 4 12
direct
0.000 0.500 0.500
0.085 0.915 0.750
0.160 0.320 0.000
0.320 0.160 0.500
0.500 0.000 0.000
0.680 0.840 0.500
0.840 0.680 0.000
0.915 0.085 0.250
0.249 0.751 0.250
0.418 0.582 0.750
0.582 0.418 0.250
0.751 0.249 0.750
0.049 0.242 0.646
0.119 0.589 0.854
0.242 0.049 0.146
0.313 0.481 0.354
0.411 0.881 0.646
0.481 0.313 0.854
0.519 0.687 0.146
0.589 0.119 0.354
0.687 0.519 0.646
0.758 0.951 0.854
0.881 0.411 0.146
0.951 0.758 0.354
```

Final energy: -5.425 eV per atom
Size of the total moment: 0.000 μB per atom
Space group: No. 15
Formation energy from raw total energies: -1.174 eV/atom

***

## NaPt3O4 (PBEsol)

Data for an optimized crystal structure of NaPt3O4.

Structure (POSCAR):
```
NaPt3O4
1.0
5.684 0.000 0.000
0.000 5.684 0.000
0.000 0.000 5.684
Na Pt O
2 6 8
direct
0.000 0.000 0.000
0.500 0.500 0.500
0.000 0.250 0.500
0.000 0.750 0.500
0.250 0.500 0.000
0.500 0.000 0.250
0.500 0.000 0.750
0.750 0.500 0.000
0.250 0.250 0.250
0.250 0.250 0.750
0.250 0.750 0.250
0.250 0.750 0.750
0.750 0.250 0.250
0.750 0.250 0.750
0.750 0.750 0.250
0.750 0.750 0.750
```

Final energy: -6.181 eV per atom
Size of the total moment: 0.000 μB per atom
Space group: No. 223
Formation energy from raw total energies: -0.770 eV/atom

***

## Na2PtO3 (PBEsol)

Data for an optimized crystal structure of Na2PtO3.

Structure (POSCAR):
```
Na2PtO3
1.0
-1.572 2.183 4.885
1.572 -2.183 4.885
1.572 2.183 -4.885
Na Pt O
2 1 3
direct
0.172 0.172 0.000
0.828 0.828 0.000
0.500 0.500 0.000
0.000 0.500 0.500
0.368 0.868 0.500
0.632 0.132 0.500
```

Final energy: -5.273 eV per atom
Size of the total moment: 0.050 μB per atom
Space group: No. 71
Formation energy from raw total energies: -1.021 eV/atom

***

## Na2TiPtO (PBEsol)

Data for an optimized crystal structure of Na2TiPtO.

Structure (POSCAR):
```
Na2TiPtO
1.0
4.346 0.000 0.000
0.000 4.346 0.000
0.000 0.000 3.993
Na Ti Pt O
2 1 1 1
direct
0.000 0.500 0.000
0.500 0.000 0.000
0.000 0.000 0.500
0.500 0.500 0.500
0.000 0.000 0.000
```

Final energy: -5.423 eV per atom
Size of the total moment: 0.156 μB per atom
Space group: No. 123
Formation energy from raw total energies: -0.757 eV/atom

***

## Rb3NaRe2O9 (PBEsol)

Data for an optimized crystal structure of Rb3NaRe2O9.

Structure (POSCAR):
```
Rb3NaRe2O9
1.0
6.145 0.000 0.000
-3.072 5.322 0.000
0.000 0.000 14.411
Rb Na Re O
6 2 4 18
direct
0.000 0.000 0.250
0.000 0.000 0.750
0.333 0.667 0.110
0.333 0.667 0.390
0.667 0.333 0.610
0.667 0.333 0.890
0.000 0.000 0.000
0.000 0.000 0.500
0.333 0.667 0.649
0.333 0.667 0.851
0.667 0.333 0.149
0.667 0.333 0.351
0.065 0.533 0.750
0.184 0.369 0.593
0.184 0.369 0.907
0.184 0.816 0.593
0.184 0.816 0.907
0.369 0.184 0.093
0.369 0.184 0.407
0.467 0.533 0.750
0.467 0.935 0.750
0.533 0.065 0.250
0.533 0.467 0.250
0.631 0.816 0.593
0.631 0.816 0.907
0.816 0.184 0.093
0.816 0.184 0.407
0.816 0.631 0.093
0.816 0.631 0.407
0.935 0.467 0.250
```

Final energy: -7.035 eV per atom
Size of the total moment: 0.000 μB per atom
Space group: No. 194
Formation energy from raw total energies: -1.809 eV/atom

***

## Rb3NaRu2O8 (PBEsol)

Data for an optimized crystal structure of Rb3NaRu2O8.

Structure (POSCAR):
```
Rb3NaRu2O8
1.0
6.034 0.000 0.000
-3.017 5.226 0.000
0.000 0.000 7.888
Rb Na Ru O
3 1 2 8
direct
0.000 0.000 0.000
0.333 0.667 0.653
0.667 0.333 0.347
0.000 0.000 0.500
0.333 0.667 0.216
0.667 0.333 0.784
0.177 0.353 0.306
0.177 0.823 0.306
0.333 0.667 0.995
0.353 0.177 0.694
0.647 0.823 0.306
0.667 0.333 0.005
0.823 0.177 0.694
0.823 0.647 0.694
```

Final energy: -6.064 eV per atom
Size of the total moment: 0.286 μB per atom
Space group: No. 164
Formation energy from raw total energies: -1.291 eV/atom

***

## RbNaS2O (PBEsol)

Data for an optimized crystal structure of RbNaS2O.

Structure (POSCAR):
```
RbNaS2O
1.0
4.555 0.000 0.000
0.000 4.555 0.000
0.000 0.000 4.525
Rb Na S O
1 1 2 1
direct
0.000 0.000 0.000
0.500 0.500 0.000
0.000 0.500 0.500
0.500 0.000 0.500
0.500 0.500 0.500
```

Final energy: -3.650 eV per atom
Size of the total moment: 0.000 μB per atom
Space group: No. 123
Formation energy from raw total energies: -0.362 eV/atom

***

## RbNaSi2O5 (PBEsol)

Data for an optimized crystal structure of RbNaSi2O5.

Structure (POSCAR):
```
RbNaSi2O5
1.0
4.885 0.000 0.000
0.000 13.616 0.000
-0.134 0.000 7.749
Rb Na Si O
4 4 8 20
direct
0.218 0.197 0.284
0.218 0.303 0.784
0.782 0.697 0.216
0.782 0.803 0.716
0.272 0.592 0.963
0.272 0.908 0.463
0.728 0.092 0.537
0.728 0.408 0.037
0.200 0.046 0.787
0.200 0.454 0.287
0.295 0.631 0.520
0.295 0.869 0.020
0.705 0.131 0.980
0.705 0.369 0.480
0.800 0.546 0.713
0.800 0.954 0.213
0.124 0.570 0.668
0.124 0.930 0.168
0.225 0.744 0.501
0.225 0.756 0.001
0.249 0.572 0.333
0.249 0.928 0.833
0.256 0.068 0.590
0.256 0.432 0.090
0.379 0.113 0.927
0.379 0.387 0.427
0.621 0.613 0.573
0.621 0.887 0.073
0.744 0.568 0.910
0.744 0.932 0.410
0.751 0.072 0.167
0.751 0.428 0.667
0.775 0.244 0.999
0.775 0.256 0.499
0.876 0.070 0.832
0.876 0.430 0.332
```

Final energy: -7.000 eV per atom
Size of the total moment: 0.000 μB per atom
Space group: No. 14
Formation energy from raw total energies: -2.538 eV/atom

***

## NaReO3 (PBEsol)

Data for an optimized crystal structure of NaReO3.

Structure (POSCAR):
```
NaReO3
1.0
3.854 0.000 0.000
0.000 3.854 0.000
0.000 0.000 3.854
Na Re O
1 1 3
direct
0.000 0.000 0.000
0.500 0.500 0.500
0.000 0.500 0.500
0.500 0.000 0.500
0.500 0.500 0.000
```

Final energy: -7.784 eV per atom
Size of the total moment: 0.000 μB per atom
Space group: No. 221
Formation energy from raw total energies: -1.688 eV/atom

***

## Na2ReO3 (PBEsol)

Data for an optimized crystal structure of Na2ReO3.

Structure (POSCAR):
```
Na2ReO3
1.0
5.568 0.000 0.000
-2.784 4.822 0.000
0.000 0.000 12.148
Na Re O
8 4 12
direct
0.333 0.667 0.000
0.333 0.667 0.250
0.333 0.667 0.500
0.333 0.667 0.750
0.667 0.333 0.000
0.667 0.333 0.250
0.667 0.333 0.500
0.667 0.333 0.750
0.000 0.000 0.155
0.000 0.000 0.345
0.000 0.000 0.655
0.000 0.000 0.845
0.000 0.321 0.124
0.000 0.321 0.376
0.000 0.679 0.624
0.000 0.679 0.876
0.321 0.000 0.124
0.321 0.000 0.376
0.321 0.321 0.624
0.321 0.321 0.876
0.679 0.000 0.624
0.679 0.000 0.876
0.679 0.679 0.124
0.679 0.679 0.376
```

Final energy: -6.945 eV per atom
Size of the total moment: 0.000 μB per atom
Space group: No. 193
Formation energy from raw total energies: -1.632 eV/atom

***

## NaReO3 (PBEsol)

Data for an optimized crystal structure of NaReO3.

Structure (POSCAR):
```
NaReO3
1.0
3.803 0.000 0.000
0.000 3.803 0.000
0.000 0.000 3.803
Na Re O
1 1 3
direct
0.000 0.000 0.000
0.500 0.500 0.500
0.000 0.000 0.500
0.000 0.500 0.000
0.500 0.000 0.000
```

Final energy: -4.959 eV per atom
Size of the total moment: 0.384 μB per atom
Space group: No. 221
Formation energy from raw total energies: 1.137 eV/atom